1.
## CaMgSi2 (PBE)

Data for a relaxed structure of CaMgSi2.

The structure in CIF format:
```
data_CaMgSi2
_cell_length_a 4.343
_cell_length_b 3.807
_cell_length_c 5.566
_cell_angle_alpha 90.00
_cell_angle_beta 112.88
_cell_angle_gamma 90.00
_space_group_name_H-M_alt 'P 1 m 1'
_space_group_IT_number 6
loop_
_space_group_symop_operation_xyz
'x,y,z'
'x,-y,z'
loop_
_atom_site_label
_atom_site_type_symbol
_atom_site_fract_x
_atom_site_fract_y
_atom_site_fract_z
Ca1 Ca 0.000 0.000 0.000
Mg1 Mg 0.283 0.500 0.566
Si1 Si 0.568 0.500 0.138
Si2 Si 0.716 0.000 0.432
```

Properties
The value obtained for the uncorrected formation energy is -278 meV/atom. For the density of states at the Fermi level, the calculation gives 1.345 states/eV/f.u.

2.
## HgTe2Pb (PBE)

Data for a relaxed structure of HgTe2Pb.

The structure in CIF format:
```
data_HgTe2Pb
_cell_length_a 6.754
_cell_length_b 8.498
_cell_length_c 4.213
_cell_angle_alpha 90.00
_cell_angle_beta 90.00
_cell_angle_gamma 90.00
_space_group_name_H-M_alt 'C m m m'
_space_group_IT_number 65
_space_group_name_Hall '-C 2 2'
loop_
_atom_site_label
_atom_site_type_symbol
_atom_site_fract_x
_atom_site_fract_y
_atom_site_fract_z
Hg1 Hg 0.000 0.000 0.000
Te1 Te 0.250 0.250 0.500
Pb1 Pb 0.000 0.500 0.000
```

Properties
The value obtained for the uncorrected formation energy is -7 meV/atom. For the density of states at the Fermi level, the calculation gives 2.301 states/eV/f.u.

3.
## Co2P3 (PBE)

Data for a relaxed structure of Co2P3.

The structure in CIF format:
```
data_Co2P3
_cell_length_a 9.771
_cell_length_b 5.532
_cell_length_c 5.932
_cell_angle_alpha 90.00
_cell_angle_beta 125.48
_cell_angle_gamma 90.00
_space_group_name_H-M_alt 'C 1 2/c 1'
_space_group_IT_number 15
loop_
_space_group_symop_operation_xyz
'x,y,z'
'-x,-y,-z'
'-x,y,-z+1/2'
'x,-y,z+1/2'
'x+1/2,y+1/2,z'
'-x+1/2,-y+1/2,-z'
'-x+1/2,y+1/2,-z+1/2'
'x+1/2,-y+1/2,z+1/2'
loop_
_atom_site_label
_atom_site_type_symbol
_atom_site_fract_x
_atom_site_fract_y
_atom_site_fract_z
Co1 Co 0.078 0.219 0.137
P1 P 0.000 0.420 0.750
P2 P 0.190 0.081 0.570
```

Properties
As for the formation energy: -364 meV per atom. The value obtained for the energy relative to the lowest polymorph listed for this composition is 0.000 eV per atom. For the density of states at the Fermi level, the calculation gives 3.599 states/eV/f.u.

4.
## ZrOs (PBE)

Data for a relaxed structure of ZrOs.

The structure in CIF format:
```
data_ZrOs
_cell_length_a 3.164
_cell_length_b 4.319
_cell_length_c 5.461
_cell_angle_alpha 90.00
_cell_angle_beta 90.00
_cell_angle_gamma 90.00
_space_group_name_H-M_alt 'P m m n'
_space_group_IT_number 59
loop_
_space_group_symop_operation_xyz
'x,y,z'
'-x,-y,-z'
'-x+1/2,-y+1/2,z'
'x+1/2,y+1/2,-z'
'x+1/2,-y,-z'
'-x+1/2,y,z'
'-x,y+1/2,-z'
'x,-y+1/2,z'
loop_
_atom_site_label
_atom_site_type_symbol
_atom_site_fract_x
_atom_site_fract_y
_atom_site_fract_z
Zr1 Zr 0.250 0.250 0.171
Os1 Os 0.250 0.250 0.676
```

Properties
As for the formation energy: -64 meV per atom. For the density of states at the Fermi level, the calculation gives 0.982 states/eV/f.u.

5.
## ScAsOsBr2 (PBE)

Data for a relaxed structure of ScAsOsBr2.

The structure in CIF format:
```
data_ScAsOsBr2
_cell_length_a 5.202
_cell_length_b 5.202
_cell_length_c 4.687
_cell_angle_alpha 90.00
_cell_angle_beta 90.00
_cell_angle_gamma 90.00
_space_group_name_H-M_alt 'P 4/m m m'
_space_group_IT_number 123
_space_group_name_Hall '-P 4 2'
loop_
_atom_site_label
_atom_site_type_symbol
_atom_site_fract_x
_atom_site_fract_y
_atom_site_fract_z
Sc1 Sc 0.000 0.000 0.000
As1 As 0.500 0.500 0.000
Os1 Os 0.500 0.500 0.500
Br1 Br 0.000 0.500 0.500
```

Properties
The value obtained for the uncorrected formation energy is 424 meV/atom. The value obtained for the energy relative to the lowest polymorph listed for this composition is 0.000 eV per atom. For the density of states at the Fermi level, the calculation gives 5.197 states/eV/f.u.

6.
## Na2Te2I (PBE)

Data for a relaxed structure of Na2Te2I.

The structure in CIF format:
```
data_Na2Te2I
_cell_length_a 6.087
_cell_length_b 6.087
_cell_length_c 9.703
_cell_angle_alpha 90.00
_cell_angle_beta 90.00
_cell_angle_gamma 90.00
_space_group_name_H-M_alt 'I 4/m m m'
_space_group_IT_number 139
_space_group_name_Hall '-I 4 2'
loop_
_atom_site_label
_atom_site_type_symbol
_atom_site_fract_x
_atom_site_fract_y
_atom_site_fract_z
Na1 Na 0.000 0.500 0.250
Te1 Te 0.000 0.000 0.141
I1 I 0.000 0.000 0.500
```

Properties
The value obtained for the uncorrected formation energy is -581 meV/atom. The value obtained for the energy relative to the lowest polymorph listed for this composition is 0.000 eV per atom. For the density of states at the Fermi level, the calculation gives 5.915 states/eV/f.u.

7.
## Pr4TlAgO (PBE)

Data for a relaxed structure of Pr4TlAgO.

The structure in CIF format:
```
data_Pr4TlAgO
_cell_length_a 7.029
_cell_length_b 15.853
_cell_length_c 7.043
_cell_angle_alpha 90.00
_cell_angle_beta 90.00
_cell_angle_gamma 90.00
_space_group_name_H-M_alt 'C m c m'
_space_group_IT_number 63
_space_group_name_Hall '-C 2c 2'
loop_
_atom_site_label
_atom_site_type_symbol
_atom_site_fract_x
_atom_site_fract_y
_atom_site_fract_z
Pr1 Pr 0.000 0.066 0.250
Pr2 Pr 0.000 0.421 0.250
Pr3 Pr 0.250 0.250 0.000
Tl1 Tl 0.000 0.383 0.750
Ag1 Ag 0.000 0.121 0.750
O1 O 0.000 0.254 0.250
```

Properties
The value obtained for the uncorrected formation energy is -912 meV/atom. For the density of states at the Fermi level, the calculation gives 3.710 states/eV/f.u.

8.
## Pm3Ga4Si2 (PBE)

Data for a relaxed structure of Pm3Ga4Si2.

The structure in CIF format:
```
data_Pm3Ga4Si2
_cell_length_a 11.134
_cell_length_b 4.181
_cell_length_c 8.381
_cell_angle_alpha 90.00
_cell_angle_beta 100.41
_cell_angle_gamma 90.00
_space_group_name_H-M_alt 'C 1 2/m 1'
_space_group_IT_number 12
loop_
_space_group_symop_operation_xyz
'x,y,z'
'-x,-y,-z'
'-x,y,-z'
'x,-y,z'
'x+1/2,y+1/2,z'
'-x+1/2,-y+1/2,-z'
'-x+1/2,y+1/2,-z'
'x+1/2,-y+1/2,z'
loop_
_atom_site_label
_atom_site_type_symbol
_atom_site_fract_x
_atom_site_fract_y
_atom_site_fract_z
Pm1 Pm 0.000 0.000 0.000
Pm2 Pm 0.168 0.500 0.664
Ga1 Ga 0.055 0.000 0.387
Ga2 Ga 0.226 0.500 0.060
Si1 Si 0.109 0.500 0.275
```

Properties
The value obtained for the uncorrected formation energy is -705 meV/atom. For the density of states at the Fermi level, the calculation gives 3.153 states/eV/f.u.

9.
## Tm12SnPd6 (PBE)

Data for a relaxed structure of Tm12SnPd6.

The structure in CIF format:
```
data_Tm12SnPd6
_cell_length_a 13.9569
_cell_length_b 13.9569
_cell_length_c 8.8497
_cell_angle_alpha 90.00
_cell_angle_beta 90.00
_cell_angle_gamma 120.00
_space_group_name_H-M_alt 'R -3'
_space_group_IT_number 148
_space_group_name_Hall '-R 3'
loop_
_atom_site_label
_atom_site_type_symbol
_atom_site_fract_x
_atom_site_fract_y
_atom_site_fract_z
Tm1 Tm 0.0402 0.7865 0.4271
Tm2 Tm 0.0577 0.8811 0.8236
Sn1 Sn 0.0000 0.0000 0.5000
Pd1 Pd 0.0717 0.5721 0.7796
```

Properties
As for the formation energy: -560 meV per atom. The value obtained for the energy relative to the lowest polymorph listed for this composition is 0.115 eV per atom. For the density of states at the Fermi level, the calculation gives 16.219 states/eV/f.u.

10.
## YMnFe (PBE)

Data for a relaxed structure of YMnFe.

The structure in CIF format:
```
data_YMnFe
_cell_length_a 6.675
_cell_length_b 6.867
_cell_length_c 9.815
_cell_angle_alpha 90.00
_cell_angle_beta 90.00
_cell_angle_gamma 90.00
_space_group_name_H-M_alt 'F m m m'
_space_group_IT_number 69
_space_group_name_Hall '-F 2 2'
loop_
_atom_site_label
_atom_site_type_symbol
_atom_site_fract_x
_atom_site_fract_y
_atom_site_fract_z
Y1 Y 0.000 0.000 0.248
Mn1 Mn 0.000 0.205 0.500
Fe1 Fe 0.204 0.000 0.000
```

Properties
As for the formation energy: 432 meV per atom. The value obtained for the energy relative to the lowest polymorph listed for this composition is 0.377 eV per atom. For the density of states at the Fermi level, the calculation gives 3.443 states/eV/f.u.

11.
## KBa2Y (PBE)

Data for a relaxed structure of KBa2Y.

The structure in CIF format:
```
data_KBa2Y
_cell_length_a 4.566
_cell_length_b 6.589
_cell_length_c 13.966
_cell_angle_alpha 90.00
_cell_angle_beta 90.00
_cell_angle_gamma 90.00
_space_group_name_H-M_alt 'C m m 2'
_space_group_IT_number 35
loop_
_space_group_symop_operation_xyz
'x,y,z'
'-x,-y,z'
'-x,y,z'
'x,-y,z'
'x+1/2,y+1/2,z'
'-x+1/2,-y+1/2,z'
'-x+1/2,y+1/2,z'
'x+1/2,-y+1/2,z'
loop_
_atom_site_label
_atom_site_type_symbol
_atom_site_fract_x
_atom_site_fract_y
_atom_site_fract_z
K1 K 0.000 0.000 0.000
Ba1 Ba 0.000 0.000 0.542
Ba2 Ba 0.000 0.500 0.279
Y1 Y 0.000 0.500 0.758
```

Properties
As for the formation energy: 288 meV per atom. The value obtained for the energy relative to the lowest polymorph listed for this composition is 0.085 eV per atom. For the density of states at the Fermi level, the calculation gives 5.547 states/eV/f.u.

12.
## PrScBr (PBE)

Data for a relaxed structure of PrScBr.

The structure in CIF format:
```
data_PrScBr
_cell_length_a 3.6385
_cell_length_b 3.6385
_cell_length_c 7.3187
_cell_angle_alpha 90.00
_cell_angle_beta 90.00
_cell_angle_gamma 120.00
_space_group_name_H-M_alt 'P 3 m 1'
_space_group_IT_number 156
loop_
_space_group_symop_operation_xyz
'x,y,z'
'-y,x-y,z'
'-x+y,-x,z'
'-y,-x,z'
'-x+y,y,z'
'x,x-y,z'
loop_
_atom_site_label
_atom_site_type_symbol
_atom_site_fract_x
_atom_site_fract_y
_atom_site_fract_z
Pr1 Pr 0.0000 0.0000 0.0000
Sc1 Sc 0.3333 0.6667 0.6374
Br1 Br 0.6667 0.3333 0.3590
```

Properties
The value obtained for the uncorrected formation energy is -680 meV/atom. The value obtained for the energy relative to the lowest polymorph listed for this composition is 0.058 eV per atom. For the density of states at the Fermi level, the calculation gives 3.691 states/eV/f.u.